Entry 1:
Computed, not measured: a relaxed Ac4SnN2 crystal at the PBE-GGA level of DFT.

Geometry as CIF:
```
data_Ac4SnN2
_space_group_name_H-M_alt 'C m c m'
_space_group_IT_number 63
_space_group_name_Hall '-C 2c 2'
_cell_length_a 4.1412
_cell_length_b 13.5364
_cell_length_c 13.9720
_cell_angle_alpha 90.00
_cell_angle_beta 90.00
_cell_angle_gamma 90.00
loop_
_atom_site_label
_atom_site_fract_x
_atom_site_fract_y
_atom_site_fract_z
Ac1 0.0000 0.0000 0.0000
Ac2 0.0000 0.2625 0.1030
Ac3 0.0000 0.4144 0.7500
Sn1 0.0000 0.1057 0.7500
N1 0.0000 0.3600 0.5577
```

Summary:
The calculation puts the calculated density at 8.94 g/cm³. The value obtained for the formation energy (no corrections) is -520 kJ/mol of formula units. Its magnetization is 0.00 μB/f.u. The total energy comes out at -6.0674 eV per atom.

***

Entry 2:
Computed, not measured: a relaxed Ac12Sn3N5 crystal at the PBE-GGA level of DFT.

Geometry as CIF:
```
data_Ac12Sn3N5
_space_group_name_H-M_alt 'I a -3 d'
_space_group_IT_number 230
_space_group_name_Hall '-I 4bd 2c 3'
_cell_length_a 17.2891
_cell_length_b 17.2891
_cell_length_c 17.2891
_cell_angle_alpha 90.00
_cell_angle_beta 90.00
_cell_angle_gamma 90.00
loop_
_atom_site_label
_atom_site_fract_x
_atom_site_fract_y
_atom_site_fract_z
Ac1 0.0379 0.0497 0.6483
Sn1 0.0000 0.2500 0.1250
N1 0.0000 0.0000 0.0000
N2 0.0000 0.2500 0.3750
```

Summary:
The calculation puts the calculated density at 8.10 g/cm³. The value obtained for the formation energy (no corrections) is -1418 kJ/mol of formula units. Its magnetization is 0.00 μB/f.u. The total energy comes out at -5.8817 eV per atom.

***

Entry 3:
Computed, not measured: a relaxed Ac5Sn2N crystal at the PBE-GGA level of DFT.

Geometry as CIF:
```
data_Ac5Sn2N
_space_group_name_H-M_alt 'C m c m'
_space_group_IT_number 63
_space_group_name_Hall '-C 2c 2'
_cell_length_a 6.1931
_cell_length_b 10.9672
_cell_length_c 16.4061
_cell_angle_alpha 90.00
_cell_angle_beta 90.00
_cell_angle_gamma 90.00
loop_
_atom_site_label
_atom_site_fract_x
_atom_site_fract_y
_atom_site_fract_z
Ac1 0.0000 0.0953 0.1314
Ac2 0.0000 0.2505 0.7500
Ac3 0.0000 0.4040 0.1314
Sn1 0.0000 0.2498 0.5538
N1 0.0000 0.2496 0.2500
```

Summary:
The calculation puts the calculated density at 8.26 g/cm³. The value obtained for the formation energy (no corrections) is -389 kJ/mol of formula units. Its magnetization is 0.00 μB/f.u. The total energy comes out at -5.1126 eV per atom.

***

Entry 4:
Computed, not measured: a relaxed Ac8SnN6 crystal at the PBE-GGA level of DFT.

Geometry as CIF:
```
data_Ac8SnN6
_space_group_name_H-M_alt 'R -3'
_space_group_IT_number 148
_space_group_name_Hall '-R 3'
_cell_length_a 10.6345
_cell_length_b 10.6345
_cell_length_c 12.4696
_cell_angle_alpha 90.00
_cell_angle_beta 90.00
_cell_angle_gamma 120.00
loop_
_atom_site_label
_atom_site_fract_x
_atom_site_fract_y
_atom_site_fract_z
Ac1 0.0000 0.0000 0.2193
Ac2 0.0254 0.3001 0.0823
Sn1 0.0000 0.0000 0.5000
N1 0.0049 0.2029 0.8822
```

Summary:
The calculation puts the calculated density at 8.23 g/cm³. The value obtained for the formation energy (no corrections) is -1261 kJ/mol of formula units. Its magnetization is 1.81 μB/f.u. The total energy comes out at -6.6591 eV per atom.

***

Entry 5:
Computed, not measured: a relaxed Ac5SnN crystal at the PBE-GGA level of DFT.

Geometry as CIF:
```
data_Ac5SnN
_space_group_name_H-M_alt 'I m m 2'
_space_group_IT_number 44
_space_group_name_Hall 'I 2 -2'
_cell_length_a 8.3666
_cell_length_b 12.2130
_cell_length_c 5.5694
_cell_angle_alpha 90.00
_cell_angle_beta 90.00
_cell_angle_gamma 90.00
loop_
_atom_site_label
_atom_site_fract_x
_atom_site_fract_y
_atom_site_fract_z
Ac1 0.0000 0.0000 0.9997
Ac2 0.0000 0.2344 0.4992
Ac3 0.2043 0.5000 0.0000
Sn1 0.0000 0.5000 0.5001
N1 0.0000 0.0000 0.4989
```

Summary:
The calculation puts the calculated density at 7.40 g/cm³. The value obtained for the formation energy (no corrections) is -123 kJ/mol of formula units. Its magnetization is 0.00 μB/f.u. The total energy comes out at -4.8782 eV per atom.

***

Entry 6:
Computed, not measured: a relaxed Ac8Sn2N crystal at the PBE-GGA level of DFT.

Geometry as CIF:
```
data_Ac8Sn2N
_space_group_name_H-M_alt 'C 1 2/m 1'
_space_group_IT_number 12
_space_group_name_Hall '-C 2y'
_cell_length_a 18.6310
_cell_length_b 6.3827
_cell_length_c 7.2000
_cell_angle_alpha 90.00
_cell_angle_beta 109.84
_cell_angle_gamma 90.00
loop_
_atom_site_label
_atom_site_fract_x
_atom_site_fract_y
_atom_site_fract_z
Ac1 0.0109 0.0000 0.2576
Ac2 0.0860 0.5000 0.8780
Ac3 0.1201 0.5000 0.4305
Ac4 0.2102 0.0000 0.7424
Sn1 0.1893 0.0000 0.2039
N1 0.0000 0.5000 0.5000
```

Summary:
The calculation puts the calculated density at 8.53 g/cm³. The value obtained for the formation energy (no corrections) is -276 kJ/mol of formula units. Its magnetization is 0.00 μB/f.u. The total energy comes out at -4.7331 eV per atom.

***

Entry 7:
Computed, not measured: a relaxed Ac4Sn3N crystal at the PBE-GGA level of DFT.

Geometry as CIF:
```
data_Ac4Sn3N
_space_group_name_H-M_alt 'I -4 3 m'
_space_group_IT_number 217
_space_group_name_Hall 'I -4 2 3'
_cell_length_a 8.2075
_cell_length_b 8.2075
_cell_length_c 8.2075
_cell_angle_alpha 90.00
_cell_angle_beta 90.00
_cell_angle_gamma 90.00
loop_
_atom_site_label
_atom_site_fract_x
_atom_site_fract_y
_atom_site_fract_z
Ac1 0.1750 0.1750 0.1750
Sn1 0.0000 0.0000 0.5000
N1 0.0000 0.0000 0.0000
```

Summary:
The calculation puts the calculated density at 7.68 g/cm³. The value obtained for the formation energy (no corrections) is -581 kJ/mol of formula units. Its magnetization is 0.00 μB/f.u. The total energy comes out at -5.3482 eV per atom.

***

Entry 8:
Computed, not measured: a relaxed Ac5Sn4N crystal at the PBE-GGA level of DFT.

Geometry as CIF:
```
data_Ac5Sn4N
_space_group_name_H-M_alt 'I 4'
_space_group_IT_number 79
_space_group_name_Hall 'I 4'
_cell_length_a 10.1945
_cell_length_b 10.1945
_cell_length_c 6.5208
_cell_angle_alpha 90.00
_cell_angle_beta 90.00
_cell_angle_gamma 90.00
loop_
_atom_site_label
_atom_site_fract_x
_atom_site_fract_y
_atom_site_fract_z
Ac1 0.0000 0.0000 0.0000
Ac2 0.1130 0.2348 0.4587
Sn1 0.0601 0.3414 0.9530
N1 0.0000 0.0000 0.3816
```

Summary:
The calculation puts the calculated density at 7.96 g/cm³. The value obtained for the formation energy (no corrections) is -574 kJ/mol of formula units. Its magnetization is 0.00 μB/f.u. The total energy comes out at -5.0829 eV per atom.

***

Entry 9:
Computed, not measured: a relaxed Ac7Sn2N crystal at the PBE-GGA level of DFT.

Geometry as CIF:
```
data_Ac7Sn2N
_space_group_name_H-M_alt 'F m -3 m'
_space_group_IT_number 225
_space_group_name_Hall '-F 4 2 3'
_cell_length_a 11.3787
_cell_length_b 11.3787
_cell_length_c 11.3787
_cell_angle_alpha 90.00
_cell_angle_beta 90.00
_cell_angle_gamma 90.00
loop_
_atom_site_label
_atom_site_fract_x
_atom_site_fract_y
_atom_site_fract_z
Ac1 0.0000 0.0000 0.0000
Ac2 0.0000 0.0000 0.2716
Sn1 0.2500 0.2500 0.2500
N1 0.0000 0.0000 0.5000
```

Summary:
The calculation puts the calculated density at 8.30 g/cm³. The value obtained for the formation energy (no corrections) is 76 kJ/mol of formula units. Its magnetization is 0.00 μB/f.u. The total energy comes out at -4.4305 eV per atom.